HfTa2FeF: relaxed, PBE with a Hubbard U.

Geometry as CIF:
```
data_HfTa2FeF
_cell_length_a 5.193
_cell_length_b 5.193
_cell_length_c 3.938
_cell_angle_alpha 90.00
_cell_angle_beta 90.00
_cell_angle_gamma 90.00
_space_group_name_H-M_alt 'P 1'
_space_group_IT_number 1
loop_
_space_group_symop_operation_xyz
'x,y,z'
loop_
_atom_site_label
_atom_site_type_symbol
_atom_site_fract_x
_atom_site_fract_y
_atom_site_fract_z
_atom_site_occupancy
Hf1 Hf 0.000 0.000 0.000 1
Ta1 Ta 0.000 0.500 0.000 1
Ta2 Ta 0.500 0.000 0.000 1
Fe1 Fe 0.500 0.500 0.500 1
F1 F 0.000 0.000 0.500 1
```

symmetry	P4/mmm (123)
uncorrected energy	-7.181	eV/atom